# 1
Tm4Zn5Pt6 | GGA-PBE | relaxed

abc: 3.989 10.440 13.991
angles: 90.00 90.00 101.01
Fractional positions:
Tm 0.947 0.894 0.281
Tm 0.053 0.106 0.781
Tm 0.137 0.274 0.289
Tm 0.863 0.726 0.789
Tm 0.818 0.637 0.450
Tm 0.182 0.363 0.950
Tm 0.030 0.060 0.514
Tm 0.970 0.940 0.014
Zn 0.466 0.933 0.671
Zn 0.534 0.067 0.171
Zn 0.186 0.372 0.624
Zn 0.814 0.628 0.124
Zn 0.649 0.298 0.468
Zn 0.351 0.702 0.968
Zn 0.321 0.643 0.617
Zn 0.679 0.357 0.117
Zn 0.324 0.647 0.284
Zn 0.676 0.353 0.784
Pt 0.742 0.483 0.278
Pt 0.417 0.834 0.435
Pt 0.775 0.549 0.947
Pt 0.225 0.451 0.447
Pt 0.456 0.912 0.860
Pt 0.544 0.088 0.360
Pt 0.405 0.811 0.138
Pt 0.595 0.189 0.638
Pt 0.094 0.188 0.100
Pt 0.906 0.812 0.600
Pt 0.583 0.166 0.935
Pt 0.258 0.517 0.778

Calculated values
N(E_F) ... 11.44 states/eV per cell
Total energy ... -0.18008 Ha/atom
Energy of formation ... -0.87 eV/atom



# 2
RbAg2Te2 | GGA-PBE | relaxed

abc: 4.636 4.636 7.963
angles: 73.08 73.08 90.00
Fractional positions:
Te 0.366 0.366 0.268
Te 0.634 0.634 0.732
Rb 0.000 0.000 0.000
Ag 0.750 0.250 0.500
Ag 0.250 0.750 0.500

Calculated values
N(E_F) ... 3.25 states/eV per cell
Total energy ... -0.11016 Ha/atom
Relative energy among the computed polymorphs ... 5 meV/atom



# 3
MnNi2Br | GGA-PBE | relaxed

abc: 3.150 3.150 5.866
angles: 90.00 90.00 90.00
Site moments in Bohr magnetons follow the coordinates.
Fractional positions:
Br 0.500 0.500 0.250  -0.01
Mn 0.500 0.500 0.750  3.47
Ni 0.000 0.000 0.961  0.21
Ni 0.000 0.000 0.539  0.21

Calculated values
N(E_F) ... 4.91 states/eV per cell
Total energy ... -0.19486 Ha/atom
Relative energy among the computed polymorphs ... 79 meV/atom



Question: Among the records above, which one has the highest total energy?
Answer: RbAg2Te2